# PBE+U Ca3Cr3P4O16, relaxed
data_Ca3Cr3P4O16
_cell_length_a 9.096
_cell_length_b 9.128
_cell_length_c 10.010
_cell_angle_alpha 104.82
_cell_angle_beta 106.19
_cell_angle_gamma 109.90
_space_group_name_H-M_alt 'P 1'
_space_group_IT_number 1
_space_group_name_Hall 'P 1'
loop_
_atom_site_label
_atom_site_type_symbol
_atom_site_fract_x
_atom_site_fract_y
_atom_site_fract_z
_atom_site_occupancy
O1 O 0.825 0.816 0.516 1
Cr1 Cr 0.057 0.809 0.582 1
Cr2 Cr 0.050 0.805 0.115 1
O2 O 0.046 0.836 0.797 1
P1 P 0.812 0.990 0.075 1
O3 O 0.240 0.735 0.102 1
Cr3 Cr 0.943 0.191 0.418 1
O4 O 0.842 0.845 0.115 1
O5 O 0.558 0.411 0.304 1
O6 O 0.174 0.021 0.080 1
Cr4 Cr 0.954 0.485 0.731 1
O7 O 0.364 0.093 0.384 1
P2 P 0.263 0.061 0.483 1
P3 P 0.759 0.441 0.943 1
O8 O 0.175 0.184 0.484 1
O9 O 0.760 0.265 0.898 1
P4 P 0.733 0.422 0.392 1
P5 P 0.737 0.939 0.517 1
O10 O 0.632 0.968 0.053 1
O11 O 0.875 0.127 0.588 1
O12 O 0.629 0.888 0.348 1
P6 P 0.241 0.559 0.057 1
O13 O 0.786 0.507 0.564 1
O14 O 0.795 0.526 0.831 1
O15 O 0.405 0.570 0.040 1
O16 O 0.368 0.032 0.947 1
Ca1 Ca 0.520 0.000 0.800 1
O17 O 0.205 0.474 0.169 1
O18 O 0.871 0.541 0.353 1
O19 O 0.088 0.436 0.899 1
Ca2 Ca 0.728 0.716 0.708 1
Ca3 Ca 0.480 0.000 0.200 1
O20 O 0.214 0.493 0.436 1
O21 O 0.735 0.247 0.354 1
O22 O 0.912 0.564 0.101 1
P7 P 0.188 0.010 0.925 1
O23 O 0.265 0.753 0.646 1
Cr5 Cr 0.950 0.195 0.885 1
O24 O 0.826 0.979 0.920 1
P8 P 0.267 0.578 0.608 1
O25 O 0.442 0.589 0.696 1
O26 O 0.954 0.164 0.203 1
O27 O 0.158 0.155 0.885 1
O28 O 0.595 0.430 0.960 1
O29 O 0.371 0.112 0.652 1
Ca4 Ca 0.323 0.349 0.789 1
O30 O 0.125 0.873 0.412 1
Cr6 Cr 0.046 0.515 0.269 1
Ca5 Ca 0.272 0.284 0.292 1
O31 O 0.636 0.907 0.616 1
O32 O 0.129 0.459 0.647 1
Ca6 Ca 0.677 0.651 0.211 1
# D(E_F)	0.00	states/eV/cell
# total energy	-0.2746	Ha/atom
# symmetry	No. 2
# volume	692	Å³ per cell